The following is a DFT calculation (PBEsol) of a relaxed structure of WSeN2O.

Cell and atoms, written as POSCAR:
```
WSeN2O
1.0
4.026 0.000 0.000
0.000 4.026 0.000
0.000 0.000 3.770
W Se N O
1 1 2 1
Direct
0.000 0.000 0.000 W
0.500 0.500 0.500 Se
0.000 0.500 0.000 N
0.500 0.000 0.000 N
0.000 0.000 0.500 O
```

Properties
Magnetic moment   0.00 μB per formula unit
D(E_F)   2.6 states/eV/f.u.
Raw formation energy   0.16 eV per atom